Version P
Entry from Alexandria via LeMat-Bulk: an optimized crystal structure of MnInCo3 (PBE-GGA).

Properties
* calculated density: 5.75 g/cm³
* symmetry: Pm-3m (221)

Cell lengths 4.6416, 4.6416, 4.6416 Å; angles 90.00, 90.00, 90.00 degrees
With the nearest neighbours (Å) after each atom.
Fractional coordinates of all 5 atoms:
Mn  0.0000  0.0000  0.0000  12 Co 3.28
In  0.5000  0.5000  0.5000  6 Co 2.32
Co  0.0000  0.5000  0.5000  2 In 2.32
Co  0.5000  0.0000  0.5000  2 In 2.32
Co  0.5000  0.5000  0.0000  2 In 2.32

***

Version Q
Entry from Alexandria via LeMat-Bulk: an optimized crystal structure of MnInCo3 (PBE-GGA).

Properties
* calculated density: 7.71 g/cm³
* symmetry: Pm-3m (221)

Cell lengths 4.2107, 4.2107, 4.2107 Å; angles 90.00, 90.00, 90.00 degrees
With the nearest neighbours (Å) after each atom.
Fractional coordinates of all 5 atoms:
Mn  0.0000  0.0000  0.0000  6 Co 2.11
In  0.5000  0.5000  0.5000  12 Co 2.98
Co  0.0000  0.0000  0.5000  2 Mn 2.11
Co  0.0000  0.5000  0.0000  2 Mn 2.11
Co  0.5000  0.0000  0.0000  2 Mn 2.11

***

Sorted by energy, starting with the most stable: version Q, version P.

***

Version P
Entry from Alexandria via LeMat-Bulk: an optimized crystal structure of MnIn3Co (PBE-GGA).

Properties
* calculated density: 6.46 g/cm³
* symmetry: Pm-3m (221)

Cell lengths 4.9035, 4.9035, 4.9035 Å; angles 90.00, 90.00, 90.00 degrees
With the nearest neighbours (Å) after each atom.
Fractional coordinates of all 5 atoms:
Mn  0.0000  0.0000  0.0000  12 In 3.47
In  0.0000  0.5000  0.5000  2 Co 2.45
In  0.5000  0.0000  0.5000  2 Co 2.45
In  0.5000  0.5000  0.0000  2 Co 2.45
Co  0.5000  0.5000  0.5000  6 In 2.45

***

Version Q
Entry from Alexandria via LeMat-Bulk: an optimized crystal structure of MnIn3Co (PBE-GGA).

Properties
* calculated density: 6.08 g/cm³
* symmetry: Pm-3m (221)

Cell lengths 5.0014, 5.0014, 5.0014 Å; angles 90.00, 90.00, 90.00 degrees
With the nearest neighbours (Å) after each atom.
Fractional coordinates of all 5 atoms:
Mn  0.0000  0.0000  0.0000  6 In 2.50
In  0.0000  0.0000  0.5000  2 Mn 2.50
In  0.0000  0.5000  0.0000  2 Mn 2.50
In  0.5000  0.0000  0.0000  2 Mn 2.50
Co  0.5000  0.5000  0.5000  12 In 3.54

***

Sorted by energy, starting with the most stable: version P, version Q.

***

Version P
Entry from Alexandria via LeMat-Bulk: an optimized crystal structure of Mn2In2Co (PBE-GGA).

Properties
* calculated density: 7.57 g/cm³
* symmetry: P4/mbm (127)

Cell lengths 6.9401, 6.9401, 3.6283 Å; angles 90.00, 90.00, 90.00 degrees
With the nearest neighbours (Å) after each atom.
Fractional coordinates of all 10 atoms:
Mn  0.1556  0.3444  0.0000  6 In 2.65-2.78
Mn  0.3444  0.8444  0.0000  6 In 2.65-2.78
Mn  0.6556  0.1556  0.0000  6 In 2.65-2.78
Mn  0.8444  0.6556  0.0000  6 In 2.65-2.78
In  0.1483  0.6483  0.5000  6 Mn 2.65-2.78, 2 Co 2.65, 1 In 2.91
In  0.3517  0.1483  0.5000  6 Mn 2.65-2.78, 2 Co 2.65, 1 In 2.91
In  0.6483  0.8517  0.5000  6 Mn 2.65-2.78, 2 Co 2.65, 1 In 2.91
In  0.8517  0.3517  0.5000  6 Mn 2.65-2.78, 2 Co 2.65, 1 In 2.91
Co  0.0000  0.0000  0.5000  4 In 2.65
Co  0.5000  0.5000  0.5000  4 In 2.65

***

Version Q
Entry from Alexandria via LeMat-Bulk: an optimized crystal structure of Mn2In2Co (PBE-GGA).

Properties
* calculated density: 8.36 g/cm³
* symmetry: I4/mmm (139)

Cell lengths 3.1257, 3.1257, 16.2004 Å; angles 90.00, 90.00, 90.00 degrees
With the nearest neighbours (Å) after each atom.
Fractional coordinates of all 10 atoms:
Mn  0.0000  0.5000  0.2500  4 Mn 2.21
Mn  0.0000  0.5000  0.7500  4 Mn 2.21
Mn  0.5000  0.0000  0.2500  4 Mn 2.21
Mn  0.5000  0.0000  0.7500  4 Mn 2.21
In  0.0000  0.0000  0.1016  4 Co 2.76, 4 Mn 2.87
In  0.0000  0.0000  0.8984  4 Co 2.76, 4 Mn 2.87
In  0.5000  0.5000  0.3984  4 Co 2.76, 4 Mn 2.87
In  0.5000  0.5000  0.6016  4 Co 2.76, 4 Mn 2.87
Co  0.0000  0.0000  0.5000  8 In 2.76
Co  0.5000  0.5000  0.0000  8 In 2.76

***

Sorted by energy, starting with the most stable: version P, version Q.

***

Version P
Entry from Alexandria via LeMat-Bulk: an optimized crystal structure of MnInCo2N (PBE-GGA).

Properties
* calculated density: 5.82 g/cm³
* symmetry: P4/mmm (123)

Cell lengths 4.1173, 4.1173, 5.0782 Å; angles 90.00, 90.00, 90.00 degrees
With the nearest neighbours (Å) after each atom.
Fractional coordinates of all 5 atoms:
Mn  0.0000  0.0000  0.0000  4 Co 2.06
In  0.0000  0.0000  0.5000  2 Mn 2.54
Co  0.0000  0.5000  0.0000  2 Mn 2.06
Co  0.5000  0.0000  0.0000  2 Mn 2.06
N  0.5000  0.5000  0.5000  4 In 2.91

***

Version Q
Entry from Alexandria via LeMat-Bulk: an optimized crystal structure of MnInCo2N (PBE-GGA).

Properties
* calculated density: 8.45 g/cm³
* symmetry: P4/mmm (123)

Cell lengths 3.8961, 3.8961, 3.9058 Å; angles 90.00, 90.00, 90.00 degrees
With the nearest neighbours (Å) after each atom.
Fractional coordinates of all 5 atoms:
Mn  0.0000  0.0000  0.0000  2 N 1.95
In  0.5000  0.5000  0.0000  4 Mn 2.75, 8 Co 2.76
Co  0.0000  0.5000  0.5000  2 N 1.95
Co  0.5000  0.0000  0.5000  2 N 1.95
N  0.0000  0.0000  0.5000  4 Co 1.95, 2 Mn 1.95

***

Sorted by energy, starting with the most stable: version Q, version P.

***

Version P
Entry from Alexandria via LeMat-Bulk: an optimized crystal structure of In3CoMo (PBE-GGA).

Properties
* calculated density: 5.71 g/cm³
* symmetry: Pm-3m (221)

Cell lengths 5.2559, 5.2559, 5.2559 Å; angles 90.00, 90.00, 90.00 degrees
With the nearest neighbours (Å) after each atom.
Fractional coordinates of all 5 atoms:
In  0.0000  0.0000  0.5000  2 Mo 2.63
In  0.0000  0.5000  0.0000  2 Mo 2.63
In  0.5000  0.0000  0.0000  2 Mo 2.63
Co  0.5000  0.5000  0.5000  12 In 3.72
Mo  0.0000  0.0000  0.0000  6 In 2.63

***

Version Q
Entry from Alexandria via LeMat-Bulk: an optimized crystal structure of In3CoMo (PBE-GGA).

Properties
* calculated density: 7.17 g/cm³
* symmetry: Pm-3m (221)

Cell lengths 4.8723, 4.8723, 4.8723 Å; angles 90.00, 90.00, 90.00 degrees
With the nearest neighbours (Å) after each atom.
Fractional coordinates of all 5 atoms:
In  0.0000  0.0000  0.5000  2 Co 2.44
In  0.0000  0.5000  0.0000  2 Co 2.44
In  0.5000  0.0000  0.0000  2 Co 2.44
Co  0.0000  0.0000  0.0000  6 In 2.44
Mo  0.5000  0.5000  0.5000  12 In 3.45

***

Sorted by energy, starting with the most stable: version Q, version P.

***

Version P
Entry from Alexandria via LeMat-Bulk: an optimized crystal structure of InCo2Mo2 (PBE-GGA).

Properties
* calculated density: 9.62 g/cm³
* symmetry: P4/mbm (127)

Cell lengths 7.2382, 7.2382, 2.7985 Å; angles 90.00, 90.00, 90.00 degrees
With the nearest neighbours (Å) after each atom.
Fractional coordinates of all 10 atoms:
In  0.0000  0.0000  0.0000  2 In 2.80, 4 Co 2.87, 8 Mo 3.04
In  0.5000  0.5000  0.0000  2 In 2.80, 4 Co 2.87, 8 Mo 3.04
Co  0.1220  0.3780  0.0000  1 Co 2.50, 6 Mo 2.54-2.57
Co  0.3780  0.8780  0.0000  1 Co 2.50, 6 Mo 2.54-2.57
Co  0.6220  0.1220  0.0000  1 Co 2.50, 6 Mo 2.54-2.57
Co  0.8780  0.6220  0.0000  1 Co 2.50, 6 Mo 2.54-2.57
Mo  0.1679  0.6679  0.5000  6 Co 2.54-2.57, 2 Mo 2.80
Mo  0.3321  0.1679  0.5000  6 Co 2.54-2.57, 2 Mo 2.80
Mo  0.6679  0.8321  0.5000  6 Co 2.54-2.57, 2 Mo 2.80
Mo  0.8321  0.3321  0.5000  6 Co 2.54-2.57, 2 Mo 2.80

***

Version Q
Entry from Alexandria via LeMat-Bulk: an optimized crystal structure of InCo2Mo2 (PBE-GGA).

Properties
* calculated density: 9.31 g/cm³
* symmetry: P4/mbm (127)

Cell lengths 7.4746, 7.4746, 2.7116 Å; angles 90.00, 90.00, 90.00 degrees
With the nearest neighbours (Å) after each atom.
Fractional coordinates of all 10 atoms:
In  0.0000  0.0000  0.0000  2 In 2.71, 4 Mo 2.97
In  0.5000  0.5000  0.0000  2 In 2.71, 4 Mo 2.97
Co  0.1668  0.3332  0.5000  6 Mo 2.57-2.61, 2 Co 2.71
Co  0.3332  0.8332  0.5000  6 Mo 2.57-2.61, 2 Co 2.71
Co  0.6668  0.1668  0.5000  6 Mo 2.57-2.61, 2 Co 2.71
Co  0.8332  0.6668  0.5000  6 Mo 2.57-2.61, 2 Co 2.71
Mo  0.1218  0.6218  0.0000  6 Co 2.57-2.61, 3 Mo 2.58-2.71
Mo  0.3782  0.1218  0.0000  6 Co 2.57-2.61, 3 Mo 2.58-2.71
Mo  0.6218  0.8782  0.0000  6 Co 2.57-2.61, 3 Mo 2.58-2.71
Mo  0.8782  0.3782  0.0000  6 Co 2.57-2.61, 3 Mo 2.58-2.71

***

Sorted by energy, starting with the most stable: version P, version Q.

***

Version P
Entry from Alexandria via LeMat-Bulk: an optimized crystal structure of InCo3N (PBE-GGA).

Properties
* calculated density: 4.77 g/cm³
* symmetry: Pm-3m (221)

Cell lengths 4.7394, 4.7394, 4.7394 Å; angles 90.00, 90.00, 90.00 degrees
With the nearest neighbours (Å) after each atom.
Fractional coordinates of all 5 atoms:
In  0.0000  0.0000  0.0000  6 Co 2.37
Co  0.0000  0.0000  0.5000  2 In 2.37
Co  0.0000  0.5000  0.0000  2 In 2.37
Co  0.5000  0.0000  0.0000  2 In 2.37
N  0.5000  0.5000  0.5000  12 Co 3.35

***

Version Q
Entry from Alexandria via LeMat-Bulk: an optimized crystal structure of InCo3N (PBE-GGA).

Properties
* calculated density: 8.89 g/cm³
* symmetry: Pm-3m (221)

Cell lengths 3.8502, 3.8502, 3.8502 Å; angles 90.00, 90.00, 90.00 degrees
With the nearest neighbours (Å) after each atom.
Fractional coordinates of all 5 atoms:
In  0.0000  0.0000  0.0000  12 Co 2.72
Co  0.0000  0.5000  0.5000  2 N 1.93
Co  0.5000  0.0000  0.5000  2 N 1.93
Co  0.5000  0.5000  0.0000  2 N 1.93
N  0.5000  0.5000  0.5000  6 Co 1.93

***

Sorted by energy, starting with the most stable: version Q, version P.

***

Version P
Entry from Alexandria via LeMat-Bulk: an optimized crystal structure of InCo2N (PBE-GGA).

Properties
* calculated density: 7.03 g/cm³
* symmetry: I-42d (122)

Cell lengths 5.2078, 5.2078, 8.5990 Å; angles 90.00, 90.00, 90.00 degrees
With the nearest neighbours (Å) after each atom.
Fractional coordinates of all 16 atoms:
In  0.0000  0.0000  0.0000  4 Co 2.65
In  0.0000  0.5000  0.2500  4 Co 2.65
In  0.5000  0.0000  0.7500  4 Co 2.65
In  0.5000  0.5000  0.5000  4 Co 2.65
Co  0.1070  0.2500  0.6250  2 N 1.78
Co  0.2500  0.6070  0.8750  2 N 1.78
Co  0.2500  0.8930  0.3750  2 N 1.78
Co  0.3930  0.2500  0.1250  2 N 1.78
Co  0.6070  0.7500  0.1250  2 N 1.78
Co  0.7500  0.1070  0.3750  2 N 1.78
Co  0.7500  0.3930  0.8750  2 N 1.78
Co  0.8930  0.7500  0.6250  2 N 1.78
N  0.0000  0.0000  0.5000  4 Co 1.78
N  0.0000  0.5000  0.7500  4 Co 1.78
N  0.5000  0.0000  0.2500  4 Co 1.78
N  0.5000  0.5000  0.0000  4 Co 1.78

***

Version Q
Entry from Alexandria via LeMat-Bulk: an optimized crystal structure of InCo2N (PBE-GGA).

Properties
* calculated density: 8.43 g/cm³
* symmetry: R-3m (166)

Cell lengths 2.9826, 2.9826, 18.9194 Å; angles 90.00, 90.00, 120.00 degrees
With the nearest neighbours (Å) after each atom.
Fractional coordinates of all 12 atoms:
In  0.0000  0.0000  0.0000  6 Co 2.82, 6 In 2.98
In  0.3333  0.6667  0.6667  6 Co 2.82, 6 In 2.98
In  0.6667  0.3333  0.3333  6 Co 2.82, 6 In 2.98
Co  0.0000  0.0000  0.2155  3 N 1.95
Co  0.0000  0.0000  0.7845  3 N 1.95
Co  0.3333  0.6667  0.4512  3 N 1.95
Co  0.3333  0.6667  0.8822  3 N 1.95
Co  0.6667  0.3333  0.1178  3 N 1.95
Co  0.6667  0.3333  0.5488  3 N 1.95
N  0.0000  0.0000  0.5000  6 Co 1.95
N  0.3333  0.6667  0.1667  6 Co 1.95
N  0.6667  0.3333  0.8333  6 Co 1.95

***

Version R
Entry from Alexandria via LeMat-Bulk: an optimized crystal structure of InCo2N (PBE-GGA).

Properties
* calculated density: 8.00 g/cm³
* symmetry: Fm-3m (225)

Cell lengths 5.8954, 5.8954, 5.8954 Å; angles 90.00, 90.00, 90.00 degrees
With the nearest neighbours (Å) after each atom.
Fractional coordinates of all 16 atoms:
In  0.0000  0.0000  0.0000  8 Co 2.55
In  0.0000  0.5000  0.5000  8 Co 2.55
In  0.5000  0.0000  0.5000  8 Co 2.55
In  0.5000  0.5000  0.0000  8 Co 2.55
Co  0.2500  0.2500  0.2500  4 In 2.55, 4 N 2.55
Co  0.2500  0.2500  0.7500  4 In 2.55, 4 N 2.55
Co  0.2500  0.7500  0.2500  4 In 2.55, 4 N 2.55
Co  0.2500  0.7500  0.7500  4 In 2.55, 4 N 2.55
Co  0.7500  0.2500  0.2500  4 In 2.55, 4 N 2.55
Co  0.7500  0.2500  0.7500  4 In 2.55, 4 N 2.55
Co  0.7500  0.7500  0.2500  4 In 2.55, 4 N 2.55
Co  0.7500  0.7500  0.7500  4 In 2.55, 4 N 2.55
N  0.0000  0.0000  0.5000  8 Co 2.55
N  0.0000  0.5000  0.0000  8 Co 2.55
N  0.5000  0.0000  0.0000  8 Co 2.55
N  0.5000  0.5000  0.5000  8 Co 2.55

***

Sorted by energy, starting with the most stable: version Q, version P, version R.